Compound: NaGaSiPt
Source: OQMD via LeMat-Bulk
Functional: PBE
Structure: relaxed

Structure (CIF):
```
data_NaGaSiPt
_symmetry_space_group_name_H-M 'F -4 3 m'
_symmetry_Int_Tables_number 216
_symmetry_space_group_name_Hall 'F -4 2 3'
_cell_length_a 6.437
_cell_length_b 6.437
_cell_length_c 6.437
_cell_angle_alpha 90.00
_cell_angle_beta 90.00
_cell_angle_gamma 90.00
loop_
_atom_site_label
_atom_site_type_symbol
_atom_site_fract_x
_atom_site_fract_y
_atom_site_fract_z
_atom_site_occupancy
Na1 Na 0.000 0.000 0.000 1
Ga1 Ga 0.000 0.000 0.500 1
Si1 Si 0.250 0.250 0.750 1
Pt1 Pt 0.250 0.250 0.250 1
```

***

Compound: Pm5Te4Pb
Source: OQMD via LeMat-Bulk
Functional: PBE
Structure: relaxed

Structure (CIF):
```
data_Pm5Te4Pb
_symmetry_space_group_name_H-M 'I 4/m'
_symmetry_Int_Tables_number 87
_symmetry_space_group_name_Hall '-I 4'
_cell_length_a 10.039
_cell_length_b 10.039
_cell_length_c 6.333
_cell_angle_alpha 90.00
_cell_angle_beta 90.00
_cell_angle_gamma 90.00
loop_
_atom_site_label
_atom_site_type_symbol
_atom_site_fract_x
_atom_site_fract_y
_atom_site_fract_z
_atom_site_occupancy
Pm1 Pm 0.000 0.000 0.000 1
Pm2 Pm 0.099 0.297 0.500 1
Te1 Te 0.099 0.301 0.000 1
Pb1 Pb 0.000 0.000 0.500 1
```

***

Compound: LuTaFeSb
Source: OQMD via LeMat-Bulk
Functional: PBE
Structure: relaxed

Structure (CIF):
```
data_LuTaFeSb
_symmetry_space_group_name_H-M 'F -4 3 m'
_symmetry_Int_Tables_number 216
_symmetry_space_group_name_Hall 'F -4 2 3'
_cell_length_a 6.654
_cell_length_b 6.654
_cell_length_c 6.654
_cell_angle_alpha 90.00
_cell_angle_beta 90.00
_cell_angle_gamma 90.00
loop_
_atom_site_label
_atom_site_type_symbol
_atom_site_fract_x
_atom_site_fract_y
_atom_site_fract_z
_atom_site_occupancy
Lu1 Lu 0.000 0.000 0.000 1
Ta1 Ta 0.250 0.250 0.250 1
Fe1 Fe 0.250 0.250 0.750 1
Sb1 Sb 0.000 0.000 0.500 1
```

***

Compound: Lu2In
Source: OQMD via LeMat-Bulk
Functional: PBE
Structure: relaxed

Structure (CIF):
```
data_Lu2In
_symmetry_space_group_name_H-M 'P -6 2 m'
_symmetry_Int_Tables_number 189
_symmetry_space_group_name_Hall 'P -6 -2'
_cell_length_a 8.7469
_cell_length_b 8.7469
_cell_length_c 3.6508
_cell_angle_alpha 90.00
_cell_angle_beta 90.00
_cell_angle_gamma 120.00
loop_
_atom_site_label
_atom_site_type_symbol
_atom_site_fract_x
_atom_site_fract_y
_atom_site_fract_z
_atom_site_occupancy
Lu1 Lu 0.0000 0.3760 0.0000 1
Lu2 Lu 0.0000 0.7095 0.5000 1
In1 In 0.0000 0.0000 0.0000 1
In2 In 0.3333 0.6667 0.5000 1
```

***

no.,total moment (μB per formula unit),final energy (hartree per atom)
1,0.00,-0.143
2,0.02,-0.194
3,2.70,-0.252
4,0.75,-0.155